No. 1
First-principles (PBE) data for a relaxed TmGeH2O4 crystal, as listed in OQMD via LeMat-Bulk.

```
data_TmGeH2O4
_chemical_formula_sum 'Tm4 Ge4 H8 O16'
_cell_length_a 6.6237
_cell_length_b 6.6237
_cell_length_c 8.0758
_cell_angle_alpha 90.00
_cell_angle_beta 90.00
_cell_angle_gamma 90.00
_space_group_name_H-M_alt 'I -4 2 d'
_space_group_IT_number 122
_space_group_name_Hall 'I -4 2bw'
loop_
_atom_site_label
_atom_site_fract_x
_atom_site_fract_y
_atom_site_fract_z
Tm1 0.0000 0.0000 0.0000
Ge1 0.0000 0.0000 0.5000
H1 0.0000 0.0000 0.2678
O1 0.0033 0.6762 0.9516
```

---

No. 2
First-principles (PBE) data for a relaxed TmGeH2O4 crystal, as listed in OQMD via LeMat-Bulk.

```
data_TmGeH2O4
_chemical_formula_sum 'Tm8 Ge8 H16 O32'
_cell_length_a 9.9476
_cell_length_b 9.9890
_cell_length_c 6.8602
_cell_angle_alpha 90.00
_cell_angle_beta 90.00
_cell_angle_gamma 90.00
_space_group_name_H-M_alt 'F d d 2'
_space_group_IT_number 43
_space_group_name_Hall 'F 2 -2d'
loop_
_atom_site_label
_atom_site_fract_x
_atom_site_fract_y
_atom_site_fract_z
Tm1 0.0000 0.0000 0.0000
Ge1 0.0000 0.0000 0.5411
H1 0.0415 0.2448 0.6232
O1 0.0633 0.3783 0.2241
O2 0.1141 0.3108 0.5871
```

---

No. 3
First-principles (PBE) data for a relaxed TmGeH2O4 crystal, as listed in OQMD via LeMat-Bulk.

```
data_TmGeH2O4
_chemical_formula_sum 'Tm4 Ge4 H8 O16'
_cell_length_a 4.9834
_cell_length_b 6.1151
_cell_length_c 11.9350
_cell_angle_alpha 90.00
_cell_angle_beta 103.65
_cell_angle_gamma 90.00
_space_group_name_H-M_alt 'P 1 21/c 1'
_space_group_IT_number 14
loop_
_space_group_symop_operation_xyz
'x,y,z'
'-x,-y,-z'
'-x,y+1/2,-z+1/2'
'x,-y+1/2,z+1/2'
loop_
_atom_site_label
_atom_site_fract_x
_atom_site_fract_y
_atom_site_fract_z
Tm1 0.0503 0.2222 0.3376
Ge1 0.2839 0.2088 0.1013
H1 0.3488 0.7465 0.5112
H2 0.4745 0.0262 0.7430
O1 0.0480 0.7496 0.4923
O2 0.2229 0.5012 0.7187
O3 0.2624 0.0510 0.7140
O4 0.4372 0.2462 0.9652
```

---

no.,mass density (g/cm3),offset from the most stable computed form (kJ/mol of formula units),VASP energy (eV per atom)
1,5.8,277,-5.89
2,6.0,0,-6.25
3,5.8,4,-6.24